Below is a relaxed structure of Be2VRe, with properties calculated at the PBE level.

## Properties
Its relative energy among the computed polymorphs is 0.0 kJ/mol of atoms. As for the density of states at the Fermi level: 3.5 states/eV/cell. For the energy of formation from the pure elements, the calculation gives 42.1 meV per atom. Its space group is No. 225.

```
4
Lattice="0.0000 2.8119 2.8119 2.8119 0.0000 2.8119 2.8119 2.8119 0.0000" Properties=species:S:1:pos:R:3 pbc="T T T"
Re 2.8119 2.8119 2.8119
V 0.0000 0.0000 0.0000
Be 1.4059 1.4059 1.4059
Be 4.2178 4.2178 4.2178
```